{
  "formula": "Hg3Br",
  "functional": "PBE",
  "state": "relaxed",
  "total_magnetization_mub_per_atom": 0.0000,
  "raw_formation_energy_ev_per_fu": 0.36,
  "lattice": [[-2.948, 0.832, 1.176], [2.128, -1.619, 1.902], [4.510, 10.488, 3.881]],
  "species": ["Hg", "Hg", "Hg", "Br"],
  "fractional_positions": [[0.667, 0.333, 0.755], [0.667, 0.333, 0.245], [0.000, 0.000, 0.500], [0.000, 0.000, 0.000]]
}

---

{
  "formula": "HgBr",
  "functional": "PBE",
  "state": "relaxed",
  "total_magnetization_mub_per_atom": 0.0000,
  "raw_formation_energy_ev_per_fu": -0.55,
  "lattice": [[11.758, 0.000, 0.000], [-5.879, 10.182, 0.000], [0.000, 0.000, 3.989]],
  "species": ["Hg", "Hg", "Hg", "Hg", "Hg", "Hg", "Br", "Br", "Br", "Br", "Br", "Br"],
  "fractional_positions": [[0.961, 0.563, 0.750], [0.437, 0.399, 0.750], [0.399, 0.961, 0.250], [0.039, 0.437, 0.250], [0.601, 0.039, 0.750], [0.563, 0.601, 0.250], [0.176, 0.383, 0.750], [0.793, 0.176, 0.250], [0.383, 0.207, 0.250], [0.207, 0.824, 0.750], [0.617, 0.793, 0.750], [0.824, 0.617, 0.250]]
}

---

{
  "formula": "Hg2Br",
  "functional": "PBE",
  "state": "relaxed",
  "total_magnetization_mub_per_atom": 0.0000,
  "raw_formation_energy_ev_per_fu": -0.47,
  "lattice": [[6.118, 0.000, 0.000], [0.000, 7.729, 0.000], [0.000, 0.000, 8.286]],
  "species": ["Br", "Br", "Br", "Br", "Hg", "Hg", "Hg", "Hg", "Hg", "Hg", "Hg", "Hg"],
  "fractional_positions": [[0.250, 0.116, 0.170], [0.750, 0.884, 0.830], [0.750, 0.384, 0.670], [0.250, 0.616, 0.330], [0.250, 0.055, 0.504], [0.750, 0.445, 0.004], [0.750, 0.850, 0.168], [0.250, 0.150, 0.832], [0.250, 0.555, 0.996], [0.750, 0.350, 0.332], [0.750, 0.945, 0.496], [0.250, 0.650, 0.668]]
}

---

{
  "formula": "Hg2Br",
  "functional": "PBE",
  "state": "relaxed",
  "total_magnetization_mub_per_atom": 0.0000,
  "raw_formation_energy_ev_per_fu": -0.73,
  "lattice": [[4.773, -0.005, 0.002], [-2.373, 6.124, 0.004], [-0.015, -3.449, 6.949]],
  "species": ["Hg", "Hg", "Hg", "Hg", "Br", "Br"],
  "fractional_positions": [[0.935, 0.371, 0.603], [0.065, 0.629, 0.397], [0.220, 0.939, 0.232], [0.780, 0.061, 0.768], [0.397, 0.295, 0.112], [0.603, 0.705, 0.888]]
}

---

{
  "formula": "Hg2Br",
  "functional": "PBE",
  "state": "relaxed",
  "total_magnetization_mub_per_atom": 0.0000,
  "raw_formation_energy_ev_per_fu": -0.71,
  "lattice": [[-0.002, 3.910, 3.310], [-3.826, -1.412, 4.990], [5.183, -1.034, 3.934]],
  "species": ["Hg", "Hg", "Hg", "Hg", "Br", "Br"],
  "fractional_positions": [[0.868, 0.813, 0.199], [0.500, 0.500, 0.500], [0.000, 0.000, 0.500], [0.132, 0.187, 0.801], [0.712, 0.703, 0.877], [0.288, 0.297, 0.123]]
}

---

{
  "formula": "Hg4Br",
  "functional": "PBE",
  "state": "relaxed",
  "total_magnetization_mub_per_atom": 0.0000,
  "raw_formation_energy_ev_per_fu": -0.39,
  "lattice": [[-4.819, -3.920, 6.822], [5.141, -6.403, -4.208], [5.487, 6.550, 3.481]],
  "species": ["Hg", "Hg", "Hg", "Hg", "Hg", "Hg", "Hg", "Hg", "Hg", "Hg", "Hg", "Hg", "Hg", "Hg", "Hg", "Hg", "Br", "Br", "Br", "Br"],
  "fractional_positions": [[0.000, 0.000, 0.787], [0.750, 0.500, 0.250], [0.750, 0.250, 0.500], [0.000, 0.787, 0.000], [0.343, 0.343, 0.000], [0.000, 0.657, 0.657], [0.657, 0.657, 0.000], [0.500, 0.250, 0.750], [0.657, 0.000, 0.657], [0.213, 0.213, 0.213], [0.787, 0.000, 0.000], [0.000, 0.343, 0.343], [0.343, 0.000, 0.343], [0.500, 0.750, 0.250], [0.250, 0.750, 0.500], [0.250, 0.500, 0.750], [0.477, 0.000, 0.000], [0.000, 0.477, 0.000], [0.523, 0.523, 0.523], [0.000, 0.000, 0.477]]
}

---

{
  "formula": "HgBr",
  "functional": "PBE",
  "state": "relaxed",
  "total_magnetization_mub_per_atom": 0.0000,
  "raw_formation_energy_ev_per_fu": -0.04,
  "lattice": [[-0.203, 2.938, -2.522], [-3.661, 0.676, 1.082], [2.540, 4.917, 5.523]],
  "species": ["Br", "Br", "Hg", "Hg"],
  "fractional_positions": [[0.000, 0.000, 0.934], [0.500, 0.500, 0.316], [0.500, 0.500, 0.762], [0.000, 0.000, 0.488]]
}

---

{
  "formula": "Hg4Br",
  "functional": "PBE",
  "state": "relaxed",
  "total_magnetization_mub_per_atom": 0.0000,
  "raw_formation_energy_ev_per_fu": 0.67,
  "lattice": [[-1.709, 3.860, 4.609], [-2.596, -4.796, 3.054], [5.423, -1.080, 2.915]],
  "species": ["Hg", "Hg", "Hg", "Hg", "Br"],
  "fractional_positions": [[0.000, 0.500, 0.500], [0.500, 0.000, 0.500], [0.000, 0.000, 0.000], [0.500, 0.500, 0.000], [0.500, 0.500, 0.500]]
}

---

{
  "formula": "HgBr3",
  "functional": "PBE",
  "state": "relaxed",
  "total_magnetization_mub_per_atom": 0.0002,
  "raw_formation_energy_ev_per_fu": -0.14,
  "lattice": [[-2.314, 2.807, -3.182], [-1.670, -2.646, 3.684], [0.919, 6.619, 5.170]],
  "species": ["Br", "Br", "Br", "Hg"],
  "fractional_positions": [[0.500, 0.500, 0.750], [0.000, 0.000, 0.028], [0.000, 0.000, 0.472], [0.500, 0.500, 0.250]]
}

---

{
  "formula": "Hg2Br",
  "functional": "PBE",
  "state": "relaxed",
  "total_magnetization_mub_per_atom": 0.0000,
  "raw_formation_energy_ev_per_fu": -0.54,
  "lattice": [[4.011, 4.858, 1.009], [-5.924, 0.211, 2.359], [1.790, -2.457, 4.715]],
  "species": ["Br", "Br", "Hg", "Hg", "Hg", "Hg"],
  "fractional_positions": [[0.333, 0.667, 0.250], [0.667, 0.333, 0.750], [0.000, 0.000, 0.500], [0.333, 0.667, 0.750], [0.000, 0.000, 0.000], [0.667, 0.333, 0.250]]
}

---

{
  "formula": "Hg2Br",
  "functional": "PBE",
  "state": "relaxed",
  "total_magnetization_mub_per_atom": 0.0000,
  "raw_formation_energy_ev_per_fu": -0.10,
  "lattice": [[4.534, -7.852, 0.000], [4.534, 7.852, 0.000], [0.000, 0.000, 4.485]],
  "species": ["Hg", "Hg", "Hg", "Hg", "Hg", "Hg", "Br", "Br", "Br"],
  "fractional_positions": [[0.000, 0.241, 0.000], [0.759, 0.759, 0.000], [0.000, 0.443, 0.500], [0.557, 0.557, 0.500], [0.241, 0.000, 0.000], [0.443, 0.000, 0.500], [0.000, 0.000, 0.500], [0.333, 0.667, 0.000], [0.667, 0.333, 0.000]]
}

---

{
  "formula": "HgBr5",
  "functional": "PBE",
  "state": "relaxed",
  "total_magnetization_mub_per_atom": 0.0685,
  "raw_formation_energy_ev_per_fu": -0.41,
  "lattice": [[-5.378, -6.291, 1.083], [-1.875, -7.987, 1.540], [-1.058, -0.239, 7.237]],
  "species": ["Br", "Br", "Br", "Br", "Br", "Hg"],
  "fractional_positions": [[0.680, 0.680, 0.679], [0.929, 0.929, 0.451], [0.682, 0.682, 0.186], [0.931, 0.931, 0.129], [0.399, 0.399, 0.807], [0.212, 0.212, 0.915]]
}

---

{
  "formula": "HgBr3",
  "functional": "PBE",
  "state": "relaxed",
  "total_magnetization_mub_per_atom": 0.0000,
  "raw_formation_energy_ev_per_fu": -0.27,
  "lattice": [[2.476, 0.000, 8.775], [-1.238, 2.144, 8.775], [-1.238, -2.144, 8.775]],
  "species": ["Br", "Br", "Br", "Hg"],
  "fractional_positions": [[0.898, 0.898, 0.898], [0.000, 0.000, 0.000], [0.102, 0.102, 0.102], [0.500, 0.500, 0.500]]
}

---

{
  "formula": "Hg3Br",
  "functional": "PBE",
  "state": "relaxed",
  "total_magnetization_mub_per_atom": 0.0000,
  "raw_formation_energy_ev_per_fu": -0.33,
  "lattice": [[-4.202, 2.828, -4.978], [-7.039, -0.602, -0.720], [5.227, 1.389, 4.602]],
  "species": ["Br", "Hg", "Hg", "Hg"],
  "fractional_positions": [[0.000, 0.000, 0.000], [0.500, 0.500, 0.000], [0.750, 0.250, 0.500], [0.250, 0.750, 0.500]]
}

---

{
  "formula": "Hg2Br",
  "functional": "PBE",
  "state": "relaxed",
  "total_magnetization_mub_per_atom": 0.0000,
  "raw_formation_energy_ev_per_fu": -0.58,
  "lattice": [[-1.735, -1.874, -3.552], [4.217, 0.655, 0.270], [0.708, -5.047, 2.283]],
  "species": ["Hg", "Hg", "Br"],
  "fractional_positions": [[0.671, 0.840, 0.358], [0.329, 0.160, 0.642], [0.000, 0.500, 0.000]]
}

---

{
  "formula": "Hg2Br",
  "functional": "PBE",
  "state": "relaxed",
  "total_magnetization_mub_per_atom": 0.0000,
  "raw_formation_energy_ev_per_fu": -0.31,
  "lattice": [[-0.863, -0.122, -6.127], [4.718, -3.110, 2.523], [-1.656, -2.287, 0.279]],
  "species": ["Hg", "Hg", "Br"],
  "fractional_positions": [[0.667, 0.333, 0.999], [0.333, 0.667, 0.001], [0.000, 0.000, 0.000]]
}

---

{
  "formula": "HgBr3",
  "functional": "PBE",
  "state": "relaxed",
  "total_magnetization_mub_per_atom": 0.0000,
  "raw_formation_energy_ev_per_fu": 0.03,
  "lattice": [[4.122, 0.000, 0.000], [0.000, 4.122, 0.000], [0.000, 0.000, 7.708]],
  "species": ["Br", "Br", "Br", "Hg"],
  "fractional_positions": [[0.500, 0.000, 0.416], [0.000, 0.000, 0.917], [0.500, 0.500, 0.917], [0.000, 0.500, 0.417]]
}

---

{
  "formula": "HgBr4",
  "functional": "PBE",
  "state": "relaxed",
  "total_magnetization_mub_per_atom": 0.3718,
  "raw_formation_energy_ev_per_fu": 0.91,
  "lattice": [[5.527, 0.000, 0.000], [0.000, 5.527, 0.000], [0.000, 0.000, 5.527]],
  "species": ["Br", "Br", "Br", "Br", "Hg"],
  "fractional_positions": [[0.000, 0.500, 0.500], [0.000, 0.000, 0.000], [0.500, 0.000, 0.500], [0.500, 0.500, 0.000], [0.500, 0.500, 0.500]]
}

---

{
  "formula": "Hg3Br",
  "functional": "PBE",
  "state": "relaxed",
  "total_magnetization_mub_per_atom": 0.0000,
  "raw_formation_energy_ev_per_fu": -0.44,
  "lattice": [[-0.277, -4.371, 7.387], [7.559, 1.694, -3.707], [0.446, 6.635, 3.942]],
  "species": ["Br", "Br", "Br", "Br", "Hg", "Hg", "Hg", "Hg", "Hg", "Hg", "Hg", "Hg", "Hg", "Hg", "Hg", "Hg"],
  "fractional_positions": [[0.667, 0.333, 0.750], [0.000, 0.000, 0.500], [0.000, 0.000, 0.000], [0.333, 0.667, 0.250], [0.175, 0.825, 0.750], [0.825, 0.649, 0.250], [0.500, 0.000, 0.000], [0.500, 0.000, 0.500], [0.649, 0.825, 0.750], [0.500, 0.500, 0.500], [0.351, 0.175, 0.250], [0.000, 0.500, 0.000], [0.825, 0.175, 0.250], [0.500, 0.500, 0.000], [0.175, 0.351, 0.750], [0.000, 0.500, 0.500]]
}

---

{
  "formula": "HgBr",
  "functional": "PBE",
  "state": "relaxed",
  "total_magnetization_mub_per_atom": 0.0000,
  "raw_formation_energy_ev_per_fu": 0.06,
  "lattice": [[2.453, -4.248, 0.000], [2.453, 4.248, 0.000], [0.000, 0.000, 12.117]],
  "species": ["Hg", "Hg", "Hg", "Hg", "Br", "Br", "Br", "Br"],
  "fractional_positions": [[0.333, 0.667, 0.750], [0.000, 0.000, 0.750], [0.667, 0.333, 0.250], [0.000, 0.000, 0.250], [0.667, 0.333, 0.898], [0.667, 0.333, 0.602], [0.333, 0.667, 0.398], [0.333, 0.667, 0.102]]
}

---

{
  "formula": "Hg2Br",
  "functional": "PBE",
  "state": "relaxed",
  "total_magnetization_mub_per_atom": 0.0000,
  "raw_formation_energy_ev_per_fu": -0.25,
  "lattice": [[4.224, 0.000, 0.000], [0.000, 4.224, 0.000], [0.000, 0.000, 5.228]],
  "species": ["Br", "Hg", "Hg"],
  "fractional_positions": [[0.000, 0.000, 0.000], [0.000, 0.500, 0.500], [0.500, 0.000, 0.500]]
}

---

{
  "formula": "HgBr3",
  "functional": "PBE",
  "state": "relaxed",
  "total_magnetization_mub_per_atom": 0.1756,
  "raw_formation_energy_ev_per_fu": 0.66,
  "lattice": [[5.379, 0.072, 0.136], [-1.856, 5.049, 0.136], [-1.856, -2.697, 4.270]],
  "species": ["Br", "Br", "Br", "Hg"],
  "fractional_positions": [[0.000, 0.500, 0.500], [0.500, 0.000, 0.500], [0.000, 0.000, 0.000], [0.500, 0.500, 0.000]]
}

---

{
  "formula": "Hg2Br",
  "functional": "PBE",
  "state": "relaxed",
  "total_magnetization_mub_per_atom": 0.0000,
  "raw_formation_energy_ev_per_fu": -0.52,
  "lattice": [[3.811, 0.706, -6.030], [4.912, -2.794, -4.411], [-5.530, -3.469, -3.739]],
  "species": ["Hg", "Hg", "Hg", "Hg", "Br", "Br"],
  "fractional_positions": [[0.321, 0.321, 0.948], [0.409, 0.409, 0.603], [0.746, 0.746, 0.433], [0.073, 0.073, 0.501], [0.680, 0.680, 0.914], [0.938, 0.938, 0.101]]
}

---

{
  "formula": "Hg5Br",
  "functional": "PBE",
  "state": "relaxed",
  "total_magnetization_mub_per_atom": 0.0000,
  "raw_formation_energy_ev_per_fu": -0.26,
  "lattice": [[3.860, 0.000, 0.000], [0.000, 3.860, 0.000], [0.000, 0.000, 11.377]],
  "species": ["Hg", "Hg", "Hg", "Hg", "Hg", "Br"],
  "fractional_positions": [[0.000, 0.000, 0.828], [0.000, 0.000, 0.500], [0.000, 0.000, 0.172], [0.500, 0.500, 0.679], [0.500, 0.500, 0.321], [0.500, 0.500, 0.000]]
}

---

{
  "formula": "HgBr3",
  "functional": "PBE",
  "state": "relaxed",
  "total_magnetization_mub_per_atom": 0.0000,
  "raw_formation_energy_ev_per_fu": -0.30,
  "lattice": [[-2.221, 0.959, 5.613], [-5.674, -1.197, -1.931], [5.413, -2.651, 1.123]],
  "species": ["Hg", "Br", "Br", "Br"],
  "fractional_positions": [[0.333, 0.750, 0.583], [0.549, 0.466, 0.083], [0.834, 0.250, 0.584], [0.118, 0.034, 0.083]]
}

---

{
  "formula": "Hg4Br5",
  "functional": "PBE",
  "state": "relaxed",
  "total_magnetization_mub_per_atom": 0.0000,
  "raw_formation_energy_ev_per_fu": -1.24,
  "lattice": [[-5.524, 1.981, 6.603], [1.280, -8.430, -2.309], [5.855, -0.493, 5.046]],
  "species": ["Hg", "Hg", "Hg", "Hg", "Hg", "Hg", "Hg", "Hg", "Br", "Br", "Br", "Br", "Br", "Br", "Br", "Br", "Br", "Br"],
  "fractional_positions": [[0.000, 0.000, 0.500], [0.000, 0.000, 0.000], [0.583, 0.583, 0.250], [0.417, 0.417, 0.750], [0.583, 0.000, 0.750], [0.000, 0.583, 0.750], [0.417, 0.000, 0.250], [0.000, 0.417, 0.250], [0.242, 0.242, 0.250], [0.667, 0.333, 0.000], [0.242, 0.000, 0.750], [0.758, 0.758, 0.750], [0.333, 0.667, 0.000], [0.667, 0.333, 0.500], [0.758, 0.000, 0.250], [0.000, 0.242, 0.750], [0.333, 0.667, 0.500], [0.000, 0.758, 0.250]]
}